Record 1
A geometry-optimized Li2MgAl2Zn2 structure, computed with GGA-PBE.

CIF file:
```
data_Li2MgAl2Zn2
_chemical_formula_sum 'Li4 Mg2 Al4 Zn4'
_space_group_name_H-M_alt 'C 1 2/m 1'
_space_group_IT_number 12
_cell_length_a 8.0291
_cell_length_b 4.3465
_cell_length_c 6.8809
_cell_angle_alpha 90.00
_cell_angle_beta 107.86
_cell_angle_gamma 90.00
loop_
_space_group_symop_operation_xyz
'x,y,z'
'-x,-y,-z'
'-x,y,-z'
'x,-y,z'
'x+1/2,y+1/2,z'
'-x+1/2,-y+1/2,-z'
'-x+1/2,y+1/2,-z'
'x+1/2,-y+1/2,z'
loop_
_atom_site_label
_atom_site_type_symbol
_atom_site_fract_x
_atom_site_fract_y
_atom_site_fract_z
Li1 Li 0.1422 0.0000 0.4317
Mg1 Mg 0.0000 0.0000 0.0000
Al1 Al 0.0747 0.5000 0.7250
Zn1 Zn 0.2243 0.5000 0.1767
```

Properties
energy	-32.5	eV per cell
Fermi-level density of states	0.32	states/eV per atom

***

Record 2
A geometry-optimized Li5Mg2AlZn2 structure, computed with GGA-PBE.

CIF file:
```
data_Li5Mg2AlZn2
_chemical_formula_sum 'Li10 Mg4 Al2 Zn4'
_space_group_name_H-M_alt 'P 4/m b m'
_space_group_IT_number 127
_space_group_name_Hall '-P 4 2ab'
_cell_length_a 10.2947
_cell_length_b 10.2947
_cell_length_c 3.3755
_cell_angle_alpha 90.00
_cell_angle_beta 90.00
_cell_angle_gamma 90.00
loop_
_atom_site_label
_atom_site_type_symbol
_atom_site_fract_x
_atom_site_fract_y
_atom_site_fract_z
Li1 Li 0.0000 0.5000 0.0000
Li2 Li 0.0642 0.1965 0.0000
Mg1 Mg 0.1719 0.6719 0.5000
Al1 Al 0.0000 0.0000 0.5000
Zn1 Zn 0.1269 0.3731 0.5000
```

Properties
energy	-38.9	eV per cell
Fermi-level density of states	0.29	states/eV per atom

***

Record 3
A geometry-optimized LiMg2Al2Zn5 structure, computed with GGA-PBE.

CIF file:
```
data_LiMg2Al2Zn5
_chemical_formula_sum 'Li2 Mg4 Al4 Zn10'
_space_group_name_H-M_alt 'P 4/m b m'
_space_group_IT_number 127
_space_group_name_Hall '-P 4 2ab'
_cell_length_a 9.3069
_cell_length_b 9.3069
_cell_length_c 4.0549
_cell_angle_alpha 90.00
_cell_angle_beta 90.00
_cell_angle_gamma 90.00
loop_
_atom_site_label
_atom_site_type_symbol
_atom_site_fract_x
_atom_site_fract_y
_atom_site_fract_z
Li1 Li 0.0000 0.0000 0.0000
Mg1 Mg 0.1797 0.3203 0.0000
Al1 Al 0.1169 0.6169 0.0000
Zn1 Zn 0.0000 0.5000 0.5000
Zn2 Zn 0.0557 0.7992 0.5000
```

Properties
energy	-38.4	eV per cell
Fermi-level density of states	0.36	states/eV per atom

***

Going through the records in order, we get ΔE_f values of -115 -41 -25 meV/atom.